Compound: Na2HfNiAg
Source: Alexandria via LeMat-Bulk
Functional: meta-GGA SCAN
Structure: single point on PBEsol structure

Cell: 4.358 5.922 5.922 Å, 90.00 90.00 90.00°
Atoms (fractional coordinates):
Na 0.000 0.500 0.000
Na 0.000 0.000 0.500
Hf 0.000 0.000 0.000
Ni 0.500 0.000 0.000
Ag 0.500 0.500 0.500

Results
ρ	4.2	g/cm³
density of states at the Fermi level	3.1	states/eV per cell
total magnetic moment	0.000	Bohr magnetons per cell
calculated formation energy	6.44	eV/f.u.